No. 1
PBE-GGA La3TmGe6, optimized geometry; calculated formation energy = -0.712 eV per atom; uncorrected energy = -108.151 eV/cell; space group = R-3c (167)
1.0
-6.162 0.421 5.039
-0.544 -7.739 -1.829
5.852 -0.505 5.388
Ge La Tm
12 6 2
Direct
0.014 0.089 0.377
0.911 0.623 0.986
0.411 0.486 0.123
0.623 0.986 0.911
0.486 0.123 0.411
0.589 0.514 0.877
0.514 0.877 0.589
0.377 0.014 0.089
0.877 0.589 0.514
0.123 0.411 0.486
0.986 0.911 0.623
0.089 0.377 0.014
0.316 0.184 0.750
0.684 0.816 0.250
0.750 0.316 0.184
0.250 0.684 0.816
0.816 0.250 0.684
0.184 0.750 0.316
0.000 0.000 0.000
0.500 0.500 0.500

---

No. 2
PBE-GGA CoNi14As, optimized geometry; calculated formation energy = -0.017 eV per atom; uncorrected energy = -92.973 eV/cell; space group = Amm2 (38)
1.0
4.993 -0.311 0.000
-2.243 4.472 0.000
0.000 0.000 8.181
Ni Co As
14 1 1
Direct
0.874 0.126 0.752
0.376 0.624 0.752
0.377 0.127 0.249
0.208 0.792 0.000
0.208 0.290 0.000
0.873 0.623 0.249
0.377 0.127 0.751
0.541 0.957 0.500
0.708 0.292 0.000
0.873 0.623 0.751
0.043 0.459 0.500
0.874 0.126 0.248
0.710 0.792 0.000
0.376 0.624 0.248
0.540 0.460 0.500
0.041 0.959 0.500

---

No. 3
PBE-GGA Sc5ZnSn, optimized geometry; calculated formation energy = -0.161 eV per atom; uncorrected energy = -76.124 eV/cell; space group = C2/c (15)
1.0
5.487 -1.108 -0.971
0.690 5.555 -0.971
1.391 1.002 9.944
Sc Sn Zn
10 2 2
Direct
0.761 0.534 0.511
0.534 0.761 0.011
0.879 0.121 0.250
0.600 0.028 0.656
0.400 0.972 0.344
0.028 0.600 0.156
0.121 0.879 0.750
0.239 0.466 0.489
0.466 0.239 0.989
0.972 0.400 0.844
0.516 0.484 0.250
0.484 0.516 0.750
0.000 0.000 0.000
0.000 0.000 0.500

---

No. 4
PBE-GGA Zn2CdH, optimized geometry; uncorrected energy = -4.610 eV/cell; space group = Fm-3m (225); ΔE to the lowest computed polymorph = 1.05 eV/f.u.
1.0
4.415 -0.353 0.774
2.282 3.508 1.644
1.541 -0.101 4.223
Zn Cd H
2 1 1
Direct
0.250 0.250 0.250
0.750 0.750 0.750
0.500 0.500 0.500
0.000 0.000 0.000

---

No. 5
PBE-GGA Ca2RePdAu, optimized geometry; calculated formation energy = 0.848 eV per atom; uncorrected energy = -20.683 eV/cell; space group = P4/mmm (123)
1.0
-0.911 4.841 -1.879
-2.916 1.013 4.024
4.216 1.803 2.601
Ca Pd Re Au
2 1 1 1
Direct
0.500 0.000 0.000
0.000 0.000 0.500
0.000 0.000 0.000
0.500 0.500 0.500
0.000 0.500 0.000

---

No. 6
PBE-GGA Li2In8Pd3, optimized geometry; calculated formation energy = -0.305 eV per atom; uncorrected energy = -45.282 eV/cell; space group = P2/m (10)
1.0
4.695 0.000 0.000
0.000 7.969 -4.628
0.000 -0.834 7.855
In Pd Li
8 3 2
Direct
0.000 0.130 0.257
0.500 0.140 0.750
0.500 0.389 0.253
0.000 0.870 0.743
0.000 0.373 0.746
0.500 0.860 0.250
0.000 0.627 0.254
0.500 0.611 0.747
0.500 0.000 0.000
0.000 0.250 0.999
0.000 0.750 0.001
0.500 0.239 0.480
0.500 0.761 0.520

---

No. 7
PBE-GGA Tm2Zn15Ru2, optimized geometry; calculated formation energy = -0.192 eV per atom; uncorrected energy = -50.248 eV/cell; space group = R-3m (166)
1.0
-5.747 1.783 3.013
-3.812 -4.886 -2.623
0.484 -4.250 5.195
Ru Zn Tm
2 15 2
Direct
0.102 0.102 0.102
0.898 0.898 0.898
0.287 0.713 0.000
0.713 0.000 0.287
0.353 0.849 0.353
0.849 0.353 0.353
0.647 0.151 0.647
0.713 0.287 0.000
0.647 0.647 0.151
0.287 0.000 0.713
0.500 0.000 0.000
0.000 0.000 0.500
0.353 0.353 0.849
0.000 0.713 0.287
0.000 0.500 0.000
0.151 0.647 0.647
0.000 0.287 0.713
0.329 0.329 0.329
0.671 0.671 0.671

---

No. 8
PBE-GGA Sr2LiRe, optimized geometry; calculated formation energy = 1.366 eV per atom; uncorrected energy = -24.526 eV/cell; space group = I-42d (122); ΔE to the lowest computed polymorph = 2.36 eV/f.u.
1.0
-3.300 1.904 2.672
2.014 -1.815 3.782
5.016 8.434 4.238
Sr Re Li
4 2 2
Direct
0.632 0.125 0.250
0.118 0.625 0.250
0.375 0.368 0.750
0.875 0.882 0.750
0.000 0.000 0.000
0.750 0.250 0.500
0.500 0.500 0.000
0.250 0.750 0.500